VASP calculation (PBE-GGA) on an optimized crystal structure of FeIr2Pt.

Energy of formation from the pure elements ... -15 meV/atom
Total energy ... -32.3 eV for the cell shown

Cell and atoms, written as POSCAR:
```
FeIr2Pt
1.0
4.704 -0.005 0.003
3.907 2.619 0.003
0.808 0.245 4.654
Ir Fe Pt
2 1 1
direct
0.000 0.000 0.990
0.747 0.747 0.768
0.252 0.252 0.253
0.501 0.501 0.489
```